Record 1
# ThMg2Ga2Cu

ThMg2Ga2Cu after structural relaxation (PBE, the Alexandria database).

a = 6.4983 Å, b = 6.4983 Å, c = 6.4983 Å
α = 133.78°, β = 133.78°, γ = 67.43°
Sites, in units of the cell vectors:
1 Th 0.0000 0.0000 0.0000
2 Mg 0.2500 0.7500 0.5000
3 Mg 0.7500 0.2500 0.5000
4 Ga 0.2891 0.2891 0.0000
5 Ga 0.7109 0.7109 0.0000
6 Cu 0.5000 0.5000 0.0000

Results
Fermi-level density of states in states/eV/cell: 3.19
ρ in g cm⁻³: 5.710
E_form in kJ per mole of atoms: 19
Space group: I4/mmm, No. 139

=====

Record 2
# Ce6Bi3Os

Ce6Bi3Os after structural relaxation (PBE, the Alexandria database).

a = 6.0431 Å, b = 8.8192 Å, c = 12.8199 Å
α = 90.00°, β = 117.87°, γ = 90.00°
Sites, in units of the cell vectors:
1 Ce 0.0242 0.1412 0.4438
2 Ce 0.0242 0.3588 0.9438
3 Ce 0.3851 0.0244 0.2733
4 Ce 0.3851 0.4756 0.7733
5 Ce 0.3883 0.6856 0.4457
6 Ce 0.3883 0.8144 0.9457
7 Ce 0.6117 0.1856 0.0543
8 Ce 0.6117 0.3144 0.5543
9 Ce 0.6149 0.5244 0.2267
10 Ce 0.6149 0.9756 0.7267
11 Ce 0.9758 0.6412 0.0562
12 Ce 0.9758 0.8588 0.5562
13 Bi 0.0000 0.0000 0.0000
14 Bi 0.0000 0.5000 0.5000
15 Bi 0.1556 0.1355 0.7562
16 Bi 0.1556 0.3645 0.2562
17 Bi 0.8444 0.6355 0.7438
18 Bi 0.8444 0.8645 0.2438
19 Os 0.5000 0.0000 0.5000
20 Os 0.5000 0.5000 0.0000

Results
Fermi-level density of states in states/eV/cell: 64.63
ρ in g cm⁻³: 9.116
E_form in kJ per mole of atoms: -42
Space group: P2_1/c, No. 14

=====

Record 3
# Cd2ReAu

Cd2ReAu after structural relaxation (PBE, the Alexandria database).

a = 2.8659 Å, b = 2.8659 Å, c = 8.9195 Å
α = 90.00°, β = 90.00°, γ = 90.00°
Sites, in units of the cell vectors:
1 Cd 0.0000 0.0000 0.0000
2 Cd 0.5000 0.5000 0.2766
3 Re 0.0000 0.0000 0.5195
4 Au 0.5000 0.5000 0.7447

Results
Fermi-level density of states in states/eV/cell: 2.65
ρ in g cm⁻³: 13.781
Relative energy among the computed polymorphs in eV per atom: 0.084
E_form in kJ per mole of atoms: 40
Space group: P4mm, No. 99

=====

Record 4
# BiN

BiN after structural relaxation (PBE, the Alexandria database).

a = 3.9273 Å, b = 3.9273 Å, c = 3.9273 Å
α = 60.00°, β = 60.00°, γ = 60.00°
Sites, in units of the cell vectors:
1 Bi 0.0000 0.0000 0.0000
2 N 0.2500 0.2500 0.2500

Results
Fermi-level density of states in states/eV/cell: 1.01
ρ in g cm⁻³: 8.645
Space group: F-43m, No. 216

=====

Record 5
# K2LiGaCl6

K2LiGaCl6 after structural relaxation (PBE, the Alexandria database).

a = 7.0336 Å, b = 7.0336 Å, c = 6.1725 Å
α = 90.00°, β = 90.00°, γ = 120.00°
Sites, in units of the cell vectors:
1 K 0.3333 0.6667 0.1914
2 K 0.6667 0.3333 0.8086
3 Li 0.0000 0.0000 0.5000
4 Ga 0.0000 0.0000 0.0000
5 Cl 0.1586 0.3173 0.7703
6 Cl 0.1586 0.8414 0.7703
7 Cl 0.3173 0.1586 0.2297
8 Cl 0.6827 0.8414 0.7703
9 Cl 0.8414 0.1586 0.2297
10 Cl 0.8414 0.6827 0.2297

Results
Fermi-level density of states in states/eV/cell: 0.00
ρ in g cm⁻³: 2.308
Space group: P-3m1, No. 164

=====

Record 6
# TiHPd3

TiHPd3 after structural relaxation (PBE, the Alexandria database).

a = 4.0001 Å, b = 4.0001 Å, c = 4.0001 Å
α = 90.00°, β = 90.00°, γ = 90.00°
Sites, in units of the cell vectors:
1 Ti 0.0000 0.0000 0.0000
2 H 0.5000 0.5000 0.5000
3 Pd 0.0000 0.5000 0.5000
4 Pd 0.5000 0.0000 0.5000
5 Pd 0.5000 0.5000 0.0000

Results
Fermi-level density of states in states/eV/cell: 7.39
ρ in g cm⁻³: 9.551
Relative energy among the computed polymorphs in eV per atom: 0.028
Space group: Pm-3m, No. 221

=====

Record 7
# Ta2Ru3

Ta2Ru3 after structural relaxation (PBE, the Alexandria database).

a = 7.0521 Å, b = 5.3796 Å, c = 8.1397 Å
α = 58.73°, β = 40.69°, γ = 80.58°
Sites, in units of the cell vectors:
1 Ta 0.0116 0.4884 0.0947
2 Ta 0.1553 0.8447 0.2384
3 Ta 0.4884 0.0116 0.4053
4 Ta 0.8447 0.1553 0.7616
5 Ru 0.0711 0.0711 0.9289
6 Ru 0.3211 0.3211 0.1789
7 Ru 0.4986 0.5772 0.3046
8 Ru 0.5772 0.4986 0.6195
9 Ru 0.6305 0.9454 0.6728
10 Ru 0.9454 0.6305 0.7514

Results
Fermi-level density of states in states/eV/cell: 8.30
ρ in g cm⁻³: 14.092
Relative energy among the computed polymorphs in eV per atom: 0.000
E_form in kJ per mole of atoms: -24
Space group: Fdd2, No. 43

=====

Record 8
# Ce2PmPa

Ce2PmPa after structural relaxation (PBE, the Alexandria database).

a = 4.8321 Å, b = 4.8321 Å, c = 4.7150 Å
α = 90.00°, β = 90.00°, γ = 90.00°
Sites, in units of the cell vectors:
1 Ce 0.0000 0.5000 0.0000
2 Ce 0.5000 0.0000 0.0000
3 Pm 0.0000 0.0000 0.5000
4 Pa 0.5000 0.5000 0.5000

Results
Fermi-level density of states in states/eV/cell: 10.06
ρ in g cm⁻³: 9.899
Relative energy among the computed polymorphs in eV per atom: 0.107
E_form in kJ per mole of atoms: 18
Space group: P4/mmm, No. 123

=====

Values for final energy, eV/atom, ordered as above
-3.261, -6.279, -3.979, -5.275, -3.413, -5.737, -10.550, -6.337